A plane-wave DFT calculation with PBE was carried out for a relaxed structure of Ti12AlSi6.

abc: 7.2494 7.2494 7.2494
angles: 107.15 107.15 107.15
Positions (direct):
Ti (0.0610, 0.4741, 0.1831)
Ti (0.1627, 0.4505, 0.5951)
Ti (0.1831, 0.0610, 0.4741)
Ti (0.4049, 0.8373, 0.5495)
Ti (0.4505, 0.5951, 0.1627)
Ti (0.4741, 0.1831, 0.0610)
Ti (0.5259, 0.8169, 0.9390)
Ti (0.5495, 0.4049, 0.8373)
Ti (0.5951, 0.1627, 0.4505)
Ti (0.8169, 0.9390, 0.5259)
Ti (0.8373, 0.5495, 0.4049)
Ti (0.9390, 0.5259, 0.8169)
Al (0.5000, 0.5000, 0.5000)
Si (0.1506, 0.8482, 0.7411)
Si (0.1518, 0.2589, 0.8494)
Si (0.2589, 0.8494, 0.1518)
Si (0.7411, 0.1506, 0.8482)
Si (0.8482, 0.7411, 0.1506)
Si (0.8494, 0.1518, 0.2589)

Formation energy without anion corrections: -5.3 eV/f.u.
Space group: R-3 (148)

A plane-wave DFT calculation with PBE was carried out for a relaxed structure of Ti2AlSi.

abc: 5.6580 5.6580 5.6580
angles: 103.22 103.22 122.87
Positions (direct):
Ti (0.1122, 0.6250, 0.9872)
Ti (0.3750, 0.3622, 0.4872)
Ti (0.6378, 0.1250, 0.0128)
Ti (0.8750, 0.8878, 0.5128)
Al (0.2500, 0.7500, 0.5000)
Al (0.5000, 0.5000, 0.0000)
Si (0.0000, 0.0000, 0.0000)
Si (0.7500, 0.2500, 0.5000)

Formation energy without anion corrections: -0.5 eV/f.u.
Space group: I-42d (122)
Distance to the lowest polymorph of the same formula: 0.372 eV/atom

A plane-wave DFT calculation with PBE was carried out for a relaxed structure of Ti4Al2Si.

abc: 7.6139 7.6139 7.6139
angles: 145.86 145.86 49.06
Positions (direct):
Ti (0.0000, 0.5000, 0.5000)
Ti (0.1724, 0.1724, 0.0000)
Ti (0.5000, 0.0000, 0.5000)
Ti (0.8276, 0.8276, 0.0000)
Al (0.3702, 0.3702, 0.0000)
Al (0.6298, 0.6298, 0.0000)
Si (0.0000, 0.0000, 0.0000)

Formation energy without anion corrections: 1.4 eV/f.u.
Space group: I4/mmm (139)

A plane-wave DFT calculation with PBE was carried out for a relaxed structure of Ti2AlSi.

abc: 4.4288 4.4288 4.4288
angles: 60.00 60.00 60.00
Positions (direct):
Ti (0.2500, 0.2500, 0.2500)
Ti (0.7500, 0.7500, 0.7500)
Al (0.0000, 0.0000, 0.0000)
Si (0.5000, 0.5000, 0.5000)

Formation energy without anion corrections: -1.0 eV/f.u.
Space group: Fm-3m (225)
Distance to the lowest polymorph of the same formula: 0.252 eV/atom

A plane-wave DFT calculation with PBE was carried out for a relaxed structure of Ti2Al2Si.

abc: 6.4706 6.4706 4.0727
angles: 90.00 90.00 90.00
Positions (direct):
Ti (0.1557, 0.3443, 0.0000)
Ti (0.3443, 0.8443, 0.0000)
Ti (0.6557, 0.1557, 0.0000)
Ti (0.8443, 0.6557, 0.0000)
Al (0.1478, 0.6478, 0.5000)
Al (0.3522, 0.1478, 0.5000)
Al (0.6478, 0.8522, 0.5000)
Al (0.8522, 0.3522, 0.5000)
Si (0.0000, 0.0000, 0.0000)
Si (0.5000, 0.5000, 0.0000)

Formation energy without anion corrections: -1.4 eV/f.u.
Space group: P4/mbm (127)

A plane-wave DFT calculation with PBE was carried out for a relaxed structure of TiAl3Si.

abc: 4.6826 4.6826 4.6826
angles: 90.00 90.00 90.00
Positions (direct):
Ti (0.0000, 0.0000, 0.0000)
Al (0.0000, 0.5000, 0.5000)
Al (0.5000, 0.0000, 0.5000)
Al (0.5000, 0.5000, 0.0000)
Si (0.5000, 0.5000, 0.5000)

Formation energy without anion corrections: 3.8 eV/f.u.
Space group: Pm-3m (221)
Distance to the lowest polymorph of the same formula: 0.000 eV/atom

A plane-wave DFT calculation with PBE was carried out for a relaxed structure of Ti5Al2Si.

abc: 7.3519 7.3519 7.3519
angles: 124.42 124.42 82.49
Positions (direct):
Ti (0.0000, 0.0000, 0.0000)
Ti (0.0019, 0.5019, 0.1821)
Ti (0.1803, 0.9981, 0.5000)
Ti (0.3197, 0.8197, 0.8179)
Ti (0.4981, 0.6803, 0.5000)
Ti (0.5000, 0.5000, 0.0000)
Ti (0.5019, 0.3197, 0.5000)
Ti (0.6803, 0.1803, 0.1821)
Ti (0.8197, 0.0019, 0.5000)
Ti (0.9981, 0.4981, 0.8179)
Al (0.1351, 0.3649, 0.5000)
Al (0.3649, 0.8649, 0.2298)
Al (0.6351, 0.1351, 0.7702)
Al (0.8649, 0.6351, 0.5000)
Si (0.2500, 0.2500, 0.0000)
Si (0.7500, 0.7500, 0.0000)

Formation energy without anion corrections: -2.9 eV/f.u.
Space group: I4/mcm (140)

A plane-wave DFT calculation with PBE was carried out for a relaxed structure of Ti2AlSi2.

abc: 7.5069 7.5069 7.5069
angles: 153.80 153.80 37.38
Positions (direct):
Ti (0.1090, 0.1090, 0.0000)
Ti (0.8910, 0.8910, 0.0000)
Al (0.5000, 0.5000, 0.0000)
Si (0.2500, 0.7500, 0.5000)
Si (0.7500, 0.2500, 0.5000)

Formation energy without anion corrections: -1.3 eV/f.u.
Space group: I4/mmm (139)

A plane-wave DFT calculation with PBE was carried out for a relaxed structure of Ti3AlSi.

abc: 6.3848 6.3848 4.8894
angles: 90.00 90.00 120.00
Positions (direct):
Ti (0.1988, 0.3976, 0.2500)
Ti (0.1988, 0.8012, 0.2500)
Ti (0.3976, 0.1988, 0.7500)
Ti (0.6024, 0.8012, 0.2500)
Ti (0.8012, 0.1988, 0.7500)
Ti (0.8012, 0.6024, 0.7500)
Al (0.0000, 0.0000, 0.0000)
Al (0.0000, 0.0000, 0.5000)
Si (0.3333, 0.6667, 0.7500)
Si (0.6667, 0.3333, 0.2500)

Formation energy without anion corrections: 0.8 eV/f.u.
Space group: P6_3/mmc (194)
Distance to the lowest polymorph of the same formula: 0.035 eV/atom

A plane-wave DFT calculation with PBE was carried out for a relaxed structure of TiAl2Si2.

abc: 6.6503 6.6503 3.5621
angles: 90.00 90.00 90.00
Positions (direct):
Ti (0.0000, 0.0000, 0.0000)
Ti (0.5000, 0.5000, 0.0000)
Al (0.1664, 0.3336, 0.5000)
Al (0.3336, 0.8336, 0.5000)
Al (0.6664, 0.1664, 0.5000)
Al (0.8336, 0.6664, 0.5000)
Si (0.1332, 0.6332, 0.0000)
Si (0.3668, 0.1332, 0.0000)
Si (0.6332, 0.8668, 0.0000)
Si (0.8668, 0.3668, 0.0000)

Formation energy without anion corrections: -0.8 eV/f.u.
Space group: P4/mbm (127)

A plane-wave DFT calculation with PBE was carried out for a relaxed structure of Ti3AlSi.

abc: 4.5913 4.5913 4.5913
angles: 90.00 90.00 90.00
Positions (direct):
Ti (0.0000, 0.0000, 0.5000)
Ti (0.0000, 0.5000, 0.0000)
Ti (0.5000, 0.0000, 0.0000)
Al (0.5000, 0.5000, 0.5000)
Si (0.0000, 0.0000, 0.0000)

Formation energy without anion corrections: 0.6 eV/f.u.
Space group: Pm-3m (221)
Distance to the lowest polymorph of the same formula: 0.000 eV/atom

A plane-wave DFT calculation with PBE was carried out for a relaxed structure of Ti2AlSi.

abc: 3.9060 3.9060 3.9646
angles: 90.00 90.00 90.00
Positions (direct):
Ti (0.0000, 0.5000, 0.0000)
Ti (0.5000, 0.0000, 0.0000)
Al (0.0000, 0.0000, 0.5000)
Si (0.5000, 0.5000, 0.5000)

Formation energy without anion corrections: -2.0 eV/f.u.
Space group: P4/mmm (123)
Distance to the lowest polymorph of the same formula: 0.000 eV/atom

A plane-wave DFT calculation with PBE was carried out for a relaxed structure of Ti7Al2Si2.

abc: 5.8479 5.8479 6.0165
angles: 90.00 90.00 104.24
Positions (direct):
Ti (0.0000, 0.0000, 0.0000)
Ti (0.0000, 0.5000, 0.2728)
Ti (0.0000, 0.5000, 0.7272)
Ti (0.5000, 0.0000, 0.2728)
Ti (0.5000, 0.0000, 0.7272)
Ti (0.5000, 0.5000, 0.2649)
Ti (0.5000, 0.5000, 0.7351)
Al (0.1746, 0.1746, 0.5000)
Al (0.8254, 0.8254, 0.5000)
Si (0.2826, 0.7174, 0.0000)
Si (0.7174, 0.2826, 0.0000)

Formation energy without anion corrections: -0.7 eV/f.u.
Space group: Cmmm (65)

A plane-wave DFT calculation with PBE was carried out for a relaxed structure of TiAlSi3.

abc: 4.7803 4.7803 4.7803
angles: 90.00 90.00 90.00
Positions (direct):
Ti (0.0000, 0.0000, 0.0000)
Al (0.5000, 0.5000, 0.5000)
Si (0.0000, 0.0000, 0.5000)
Si (0.0000, 0.5000, 0.0000)
Si (0.5000, 0.0000, 0.0000)

Formation energy without anion corrections: 3.1 eV/f.u.
Space group: Pm-3m (221)

A plane-wave DFT calculation with PBE was carried out for a relaxed structure of AlTlSi2.

abc: 3.0334 3.7629 7.2202
angles: 90.00 91.38 90.00
Positions (direct):
Al (0.0000, 0.0000, 0.0000)
Tl (0.1220, 0.5000, 0.6602)
Si (0.5081, 0.5000, 0.1520)
Si (0.5249, 0.0000, 0.3694)

Formation energy without anion corrections: 1.4 eV/f.u.
Space group: Pm (6)
Distance to the lowest polymorph of the same formula: 0.076 eV/atom

A plane-wave DFT calculation with PBE was carried out for a relaxed structure of AlTlSi2.

abc: 7.9878 7.9878 7.9878
angles: 140.81 140.81 56.63
Positions (direct):
Al (0.0000, 0.0000, 0.0000)
Al (0.7500, 0.2500, 0.5000)
Tl (0.2500, 0.7500, 0.5000)
Tl (0.5000, 0.5000, 0.0000)
Si (0.0760, 0.6250, 0.9510)
Si (0.3750, 0.3260, 0.4510)
Si (0.6740, 0.1250, 0.0490)
Si (0.8750, 0.9240, 0.5490)

Formation energy without anion corrections: 2.1 eV/f.u.
Space group: I-42d (122)
Distance to the lowest polymorph of the same formula: 0.246 eV/atom

A plane-wave DFT calculation with PBE was carried out for a relaxed structure of Al2TlSi.

abc: 3.1455 3.6799 7.2124
angles: 90.00 90.00 90.00
Positions (direct):
Al (0.0000, 0.0000, 0.0000)
Al (0.5000, 0.5000, 0.2141)
Tl (0.5000, 0.5000, 0.7006)
Si (0.0000, 0.0000, 0.3660)

Formation energy without anion corrections: 1.0 eV/f.u.
Space group: Pmm2 (25)
Distance to the lowest polymorph of the same formula: 0.039 eV/atom

A plane-wave DFT calculation with PBE was carried out for a relaxed structure of AlTlSi2.

abc: 3.0594 3.0594 9.2497
angles: 90.00 90.00 109.13
Positions (direct):
Al (0.0000, 0.0000, 0.0000)
Tl (0.5000, 0.5000, 0.3017)
Si (0.0000, 0.0000, 0.6005)
Si (0.5000, 0.5000, 0.7861)

Formation energy without anion corrections: 1.8 eV/f.u.
Space group: Cmm2 (35)
Distance to the lowest polymorph of the same formula: 0.180 eV/atom

A plane-wave DFT calculation with PBE was carried out for a relaxed structure of Al2TlSi2.

abc: 7.9068 7.9068 2.9976
angles: 90.00 90.00 90.00
Positions (direct):
Al (0.1395, 0.3605, 0.0000)
Al (0.3605, 0.8605, 0.0000)
Al (0.6395, 0.1395, 0.0000)
Al (0.8605, 0.6395, 0.0000)
Tl (0.0000, 0.0000, 0.5000)
Tl (0.5000, 0.5000, 0.5000)
Si (0.1501, 0.6501, 0.5000)
Si (0.3499, 0.1501, 0.5000)
Si (0.6501, 0.8499, 0.5000)
Si (0.8499, 0.3499, 0.5000)

Formation energy without anion corrections: 1.4 eV/f.u.
Space group: P4/mbm (127)
Distance to the lowest polymorph of the same formula: 0.163 eV/atom

A plane-wave DFT calculation with PBE was carried out for a relaxed structure of AlTlSi2.

abc: 3.8302 4.2227 5.6670
angles: 90.00 100.33 90.00
Positions (direct):
Al (0.0000, 0.0000, 0.0000)
Tl (0.5000, 0.0000, 0.5000)
Si (0.2411, 0.5000, 0.8448)
Si (0.7589, 0.5000, 0.1552)

Formation energy without anion corrections: 1.6 eV/f.u.
Space group: P2/m (10)
Distance to the lowest polymorph of the same formula: 0.135 eV/atom

A plane-wave DFT calculation with PBE was carried out for a relaxed structure of AlTlSi.

abc: 4.7181 4.7181 4.7181
angles: 60.00 60.00 60.00
Positions (direct):
Al (0.0000, 0.0000, 0.0000)
Tl (0.2500, 0.2500, 0.2500)
Si (0.5000, 0.5000, 0.5000)

Formation energy without anion corrections: 2.1 eV/f.u.
Space group: F-43m (216)
Distance to the lowest polymorph of the same formula: 0.491 eV/atom

A plane-wave DFT calculation with PBE was carried out for a relaxed structure of Al2TlSi.

abc: 3.1174 3.7522 7.2540
angles: 90.00 100.67 90.00
Positions (direct):
Al (0.0000, 0.0000, 0.0000)
Al (0.3964, 0.5000, 0.7816)
Tl (0.7428, 0.0000, 0.4933)
Si (0.5658, 0.5000, 0.1466)

Formation energy without anion corrections: 1.0 eV/f.u.
Space group: Pm (6)
Distance to the lowest polymorph of the same formula: 0.032 eV/atom

A plane-wave DFT calculation with PBE was carried out for a relaxed structure of Al2TlSi2.

abc: 5.8914 5.8914 5.8914
angles: 134.96 134.96 65.59
Positions (direct):
Al (0.2500, 0.7500, 0.5000)
Al (0.7500, 0.2500, 0.5000)
Tl (0.0000, 0.0000, 0.0000)
Si (0.3788, 0.3788, 0.0000)
Si (0.6212, 0.6212, 0.0000)

Formation energy without anion corrections: 0.6 eV/f.u.
Space group: I4/mmm (139)
Distance to the lowest polymorph of the same formula: 0.000 eV/atom

A plane-wave DFT calculation with PBE was carried out for a relaxed structure of Al2TlSi.

abc: 4.7373 4.7373 3.5759
angles: 90.00 90.00 90.00
Positions (direct):
Al (0.0000, 0.5000, 0.0000)
Al (0.5000, 0.0000, 0.0000)
Tl (0.0000, 0.0000, 0.5000)
Si (0.5000, 0.5000, 0.5000)

Formation energy without anion corrections: 1.7 eV/f.u.
Space group: P4/mmm (123)
Distance to the lowest polymorph of the same formula: 0.208 eV/atom

A plane-wave DFT calculation with PBE was carried out for a relaxed structure of AlTlSi2.

abc: 5.8893 5.8893 5.8893
angles: 150.18 128.07 61.04
Positions (direct):
Al (0.0000, 0.0000, 0.0000)
Tl (0.5000, 0.5000, 0.0000)
Si (0.2156, 0.7156, 0.5000)
Si (0.7844, 0.2844, 0.5000)

Formation energy without anion corrections: 2.1 eV/f.u.
Space group: Immm (71)
Distance to the lowest polymorph of the same formula: 0.242 eV/atom

A plane-wave DFT calculation with PBE was carried out for a relaxed structure of Al2TlSi.

abc: 9.3674 9.3674 9.3674
angles: 19.80 19.80 19.80
Positions (direct):
Al (0.0000, 0.0000, 0.0000)
Al (0.2567, 0.2567, 0.2567)
Tl (0.4943, 0.4943, 0.4943)
Si (0.7331, 0.7331, 0.7331)

Formation energy without anion corrections: 1.3 eV/f.u.
Space group: R3m (160)
Distance to the lowest polymorph of the same formula: 0.115 eV/atom